1.
## LiLaN2 (PBE-GGA)

Data for LiLaN2 after structural relaxation.

Properties
energy above the lowest structure with this stoichiometry: 99 meV per atom
formation energy from raw total energies: -0.15 eV per atom

Geometry as CIF:
```
data_LiLaN2
_chemical_formula_sum 'Li3 La3 N6'
_symmetry_space_group_name_H-M 'R -3 m'
_symmetry_Int_Tables_number 166
_symmetry_space_group_name_Hall '-R 3 2"'
_cell_length_a 3.8267
_cell_length_b 3.8267
_cell_length_c 18.3102
_cell_angle_alpha 90.00
_cell_angle_beta 90.00
_cell_angle_gamma 120.00
loop_
_atom_site_label
_atom_site_fract_x
_atom_site_fract_y
_atom_site_fract_z
Li1 0.0000 0.0000 0.0000
La1 0.0000 0.0000 0.5000
N1 0.0000 0.0000 0.1047
```


2.
## YCr2Br (PBE-GGA)

Data for YCr2Br after structural relaxation.

Properties
energy above the lowest structure with this stoichiometry: 289 meV per atom
formation energy from raw total energies: 0.31 eV per atom

Geometry as CIF:
```
data_YCr2Br
_chemical_formula_sum 'Y2 Cr4 Br2'
_symmetry_space_group_name_H-M 'I m m 2'
_symmetry_Int_Tables_number 44
_cell_length_a 3.5970
_cell_length_b 5.3609
_cell_length_c 8.9674
_cell_angle_alpha 90.00
_cell_angle_beta 90.00
_cell_angle_gamma 90.00
loop_
_symmetry_equiv_pos_as_xyz
'x,y,z'
'-x,-y,z'
'-x,y,z'
'x,-y,z'
'x+1/2,y+1/2,z+1/2'
'-x+1/2,-y+1/2,z+1/2'
'-x+1/2,y+1/2,z+1/2'
'x+1/2,-y+1/2,z+1/2'
loop_
_atom_site_label
_atom_site_fract_x
_atom_site_fract_y
_atom_site_fract_z
Y1 0.0000 0.0000 0.0000
Cr1 0.0000 0.0000 0.5066
Cr2 0.0000 0.5000 0.1975
Br1 0.0000 0.5000 0.7773
```


Q: Which of these has the lowest energy above the lowest structure with this stoichiometry?
A: LiLaN2


Q: What is the formula in the first record?
A: LiLaN2


Q: What is the formula in the first record?
A: LiLaN2


Q: Which formula does entry 2 have?
A: YCr2Br